A plane-wave DFT calculation with PBE was carried out for a relaxed RbLiSCl2 crystal.

Values from the calculation:
M_tot = 0.4014 μB/atom
N(E_F) = 0.32 states/eV/atom
offset from the most stable computed form = 0.0 meV per atom
electronic total energy = -3.059 eV per atom
ΔE_f (raw) = -4.59 eV/f.u.

Lattice parameters (Å, degrees): 5.220 5.220 4.770 90.00 90.00 90.00
Fractional positions:
Rb 0.000 0.000 0.000
Li 0.500 0.500 0.500
S 0.500 0.500 0.000
Cl 0.000 0.500 0.500
Cl 0.500 0.000 0.500